*1*
## Th2SnRh (PBE)

Data for a geometry-optimized Th2SnRh structure.

```
data_Th2SnRh
_symmetry_space_group_name_H-M 'R -3 m'
_symmetry_Int_Tables_number 166
_symmetry_space_group_name_Hall '-R 3 2"'
_cell_length_a 3.9458
_cell_length_b 3.9458
_cell_length_c 29.5358
_cell_angle_alpha 90.00
_cell_angle_beta 90.00
_cell_angle_gamma 120.00
loop_
_atom_site_label
_atom_site_fract_x
_atom_site_fract_y
_atom_site_fract_z
Th1 0.0000 0.0000 0.1101
Sn1 0.0000 0.0000 0.0000
Rh1 0.0000 0.0000 0.5000
```



*2*
## Th2SnRh (PBE)

Data for a geometry-optimized Th2SnRh structure.

```
data_Th2SnRh
_symmetry_space_group_name_H-M 'P 4/m m m'
_symmetry_Int_Tables_number 123
_symmetry_space_group_name_Hall '-P 4 2'
_cell_length_a 3.4568
_cell_length_b 3.4568
_cell_length_c 8.5280
_cell_angle_alpha 90.00
_cell_angle_beta 90.00
_cell_angle_gamma 90.00
loop_
_atom_site_label
_atom_site_fract_x
_atom_site_fract_y
_atom_site_fract_z
Th1 0.0000 0.0000 0.2163
Sn1 0.5000 0.5000 0.5000
Rh1 0.5000 0.5000 0.0000
```



How far above the most stable structure does each one sit? In kJ/mol of atoms: *1* 38.2; *2* 0.0.



*1*
## ThSnRh3 (PBE)

Data for a geometry-optimized ThSnRh3 structure.

```
data_ThSnRh3
_symmetry_space_group_name_H-M 'P b a m'
_symmetry_Int_Tables_number 55
_cell_length_a 5.3233
_cell_length_b 7.7499
_cell_length_c 5.1740
_cell_angle_alpha 90.00
_cell_angle_beta 90.00
_cell_angle_gamma 90.00
loop_
_symmetry_equiv_pos_as_xyz
'x,y,z'
'-x,-y,-z'
'-x,-y,z'
'x,y,-z'
'x+1/2,-y+1/2,-z'
'-x+1/2,y+1/2,z'
'-x+1/2,y+1/2,-z'
'x+1/2,-y+1/2,z'
loop_
_atom_site_label
_atom_site_fract_x
_atom_site_fract_y
_atom_site_fract_z
Th1 0.0000 0.0000 0.0000
Sn1 0.0000 0.5000 0.5000
Rh1 0.0000 0.5000 0.0000
Rh2 0.0507 0.1711 0.5000
```



*2*
## ThSnRh3 (PBE)

Data for a geometry-optimized ThSnRh3 structure.

```
data_ThSnRh3
_symmetry_space_group_name_H-M 'P 1 21/m 1'
_symmetry_Int_Tables_number 11
_cell_length_a 4.8103
_cell_length_b 5.8935
_cell_length_c 6.9607
_cell_angle_alpha 90.00
_cell_angle_beta 101.53
_cell_angle_gamma 90.00
loop_
_symmetry_equiv_pos_as_xyz
'x,y,z'
'-x,-y,-z'
'-x,y+1/2,-z'
'x,-y+1/2,z'
loop_
_atom_site_label
_atom_site_fract_x
_atom_site_fract_y
_atom_site_fract_z
Th1 0.1974 0.2500 0.1570
Sn1 0.2817 0.7500 0.3981
Rh1 0.2242 0.0156 0.6917
Rh2 0.3690 0.7500 0.0348
```



How far above the most stable structure does each one sit? In kJ/mol of atoms: *1* 33.3; *2* 0.0.